DFT (PBE) results for an optimized crystal structure of Rb2Pm2Te2Se.

```
Rb2Pm2Te2Se
1.0
5.5807 0.0000 0.0000
0.0000 5.5807 0.0000
-2.7903 -2.7903 9.1256
Rb Pm Te Se
2 2 2 1
Direct
0.1862 0.1862 0.3724
0.8138 0.8138 0.6276
0.0000 0.5000 0.0000
0.5000 0.0000 0.0000
0.3909 0.3909 0.7818
0.6091 0.6091 0.2182
0.0000 0.0000 0.0000
```

Space group: No. 139
Electronic total energy (eV/cell): -29.4
Uncorrected formation energy (eV per atom): -1.169
Theoretical density (g/cm³): 4.65


DFT (PBE) results for an optimized crystal structure of Tb6Cd2Pd.

```
Tb6Cd2Pd
1.0
-2.3511 -3.5583 4.4877
1.9184 -7.5623 -4.9911
7.6846 -1.0543 4.5511
Tb Cd Pd
12 4 2
Direct
0.8933 0.9673 0.2102
0.9072 0.6792 0.5370
0.9074 0.6773 0.9466
0.5926 0.1773 0.5534
0.5928 0.1792 0.9630
0.6067 0.4673 0.2898
0.1067 0.0327 0.7898
0.0928 0.3208 0.4630
0.0926 0.3227 0.0534
0.4074 0.8227 0.4466
0.4072 0.8208 0.0370
0.3933 0.5327 0.7102
0.8697 0.3934 0.7630
0.6303 0.8934 0.7370
0.3697 0.1066 0.2630
0.1303 0.6066 0.2370
0.5000 0.5000 0.0000
0.0000 0.0000 0.5000
```

Space group: No. 14
Electronic total energy (eV/cell): -73.7
Formation enthalpy at 0 K (eV per atom): -0.225
Theoretical density (g/cm³): 8.32


DFT (PBE) results for an optimized crystal structure of NaLaAgPb2.

```
NaLaAgPb2
1.0
-3.7526 2.0592 3.5054
2.8494 -1.5429 3.9566
2.6508 4.8563 -0.0151
Pb Na Ag La
2 1 1 1
Direct
0.0000 0.0000 0.5000
0.5000 0.0000 0.0000
0.0000 0.5000 0.0000
0.0000 0.0000 0.0000
0.5000 0.5000 0.5000
```

Space group: No. 123
Electronic total energy (eV/cell): -16.5
Formation enthalpy at 0 K (eV per atom): 0.009
Theoretical density (g/cm³): 7.26


Copy entry 2 word for word.
DFT (PBE) results for an optimized crystal structure of Tb6Cd2Pd.

```
Tb6Cd2Pd
1.0
-2.3511 -3.5583 4.4877
1.9184 -7.5623 -4.9911
7.6846 -1.0543 4.5511
Tb Cd Pd
12 4 2
Direct
0.8933 0.9673 0.2102
0.9072 0.6792 0.5370
0.9074 0.6773 0.9466
0.5926 0.1773 0.5534
0.5928 0.1792 0.9630
0.6067 0.4673 0.2898
0.1067 0.0327 0.7898
0.0928 0.3208 0.4630
0.0926 0.3227 0.0534
0.4074 0.8227 0.4466
0.4072 0.8208 0.0370
0.3933 0.5327 0.7102
0.8697 0.3934 0.7630
0.6303 0.8934 0.7370
0.3697 0.1066 0.2630
0.1303 0.6066 0.2370
0.5000 0.5000 0.0000
0.0000 0.0000 0.5000
```

Space group: No. 14
Electronic total energy (eV/cell): -73.7
Formation enthalpy at 0 K (eV per atom): -0.225
Theoretical density (g/cm³): 8.32


Question: What is the electronic total energy in the first record?
Answer: -29.4 eV/cell


Question: What is the formula in the third record?
Answer: NaLaAgPb2


Question: Which of these has the lowest electronic total energy?
Answer: Tb6Cd2Pd